(1)
The following is a PBE calculation of a relaxed structure of YAs2WBr, from Alexandria via LeMat-Bulk.

Geometry as extended XYZ:
```
5
Lattice="4.7761 0.0000 0.0000 0.0000 5.8777 0.0000 0.0000 0.0000 4.7761" Properties=species:S:1:pos:R:3 pbc="T T T"
As 2.3880 0.0000 0.0000
As 0.0000 0.0000 2.3880
Br 2.3880 2.9388 2.3880
Y 0.0000 2.9388 0.0000
W 0.0000 0.0000 0.0000
```

Computed properties:
The value obtained for the density of states at the Fermi level is 2.8 states/eV/f.u.

(2)
The following is a PBE calculation of a relaxed structure of ZrAsWBr2, from Alexandria via LeMat-Bulk.

Geometry as extended XYZ:
```
5
Lattice="-4.8058 -0.9252 1.3933 0.8146 -4.9971 -0.5085 1.4268 -0.2512 4.7547" Properties=species:S:1:pos:R:3 pbc="T T T"
Zr -1.2822 -3.0868 2.8198
Br 0.4073 -2.4986 -0.2542
Br -2.4029 -0.4626 0.6967
W 0.0000 0.0000 0.0000
As 0.7134 -0.1256 2.3773
```

Computed properties:
The value obtained for the density of states at the Fermi level is 6.8 states/eV/f.u.

(3)
The following is a PBE calculation of a relaxed structure of ZrAsWBr2, from Alexandria via LeMat-Bulk.

Geometry as extended XYZ:
```
5
Lattice="5.1601 0.0000 0.0000 0.0000 5.1601 0.0000 0.0000 0.0000 5.4778" Properties=species:S:1:pos:R:3 pbc="T T T"
Zr 0.0000 0.0000 0.0000
As 0.0000 0.0000 2.7389
Br 0.0000 2.5800 0.0000
W 2.5800 2.5800 2.7389
Br 2.5800 0.0000 0.0000
```

Computed properties:
The value obtained for the density of states at the Fermi level is 2.9 states/eV/f.u.

(4)
The following is a PBE calculation of a relaxed structure of Y7AsBr12, from Alexandria via LeMat-Bulk.

Geometry as extended XYZ:
```
20
Lattice="-2.9570 -6.3269 -5.9390 2.5493 -4.3091 7.6797 -7.0647 5.4729 2.0455" Properties=species:S:1:pos:R:3 pbc="T T T"
Y -4.9605 -6.0964 3.5110
Y -0.9156 -2.3218 -1.0133
Br -7.3958 -2.9595 -1.4932
Br -5.4782 -0.2641 5.9670
Br -5.3235 1.9936 0.6481
Br -1.9942 -4.8992 -2.1808
Y -3.7362 -2.5816 1.8931
Br -1.0797 -3.6123 1.6176
Br -2.1488 -7.1568 3.1382
Y -7.4288 -4.1535 1.2893
Br -3.7418 -3.6384 4.5536
Y -6.5568 -2.8414 4.7995
As 0.0000 0.0000 0.0000
Br -6.3926 -1.5509 2.1686
Br -2.7933 -0.1168 3.0025
Y -2.5119 0.9332 0.2752
Br -3.7306 -1.5248 -0.7674
Br -4.6791 -5.0464 0.7837
Y -0.0436 -1.0098 2.4969
Br -0.0766 -2.2037 5.2794
```

Computed properties:
The value obtained for the density of states at the Fermi level is 4.1 states/eV/f.u.

(5)
The following is a PBE calculation of a relaxed structure of YAsBr3, from Alexandria via LeMat-Bulk.

Geometry as extended XYZ:
```
5
Lattice="5.6319 0.0000 0.0000 0.0000 5.6319 0.0000 0.0000 0.0000 5.6319" Properties=species:S:1:pos:R:3 pbc="T T T"
Y 0.0000 0.0000 0.0000
Br 0.0000 0.0000 2.8160
Br 2.8160 0.0000 0.0000
As 2.8160 2.8160 2.8160
Br 0.0000 2.8160 0.0000
```

(6)
The following is a PBE calculation of a relaxed structure of YAs2Br, from Alexandria via LeMat-Bulk.

Geometry as extended XYZ:
```
4
Lattice="-1.8428 3.2152 1.5019 -2.5470 -0.0213 -3.0796 -6.4280 -3.7579 0.1578" Properties=species:S:1:pos:R:3 pbc="T T T"
As -6.1981 -3.5364 -0.0341
As -4.7174 -2.1110 -1.2689
Br -3.1651 0.6628 0.0205
Y -7.6526 -1.2267 -1.4404
```

Computed properties:
The value obtained for the density of states at the Fermi level is 2.6 states/eV/f.u.

Taking the records one at a time from the top gives size of the total moment values of 0.00, 3.94, 4.65, 0.00, 3.00, 0.00 Bohr magnetons per cell.
Taking the records one at a time from the top gives formation energy from raw total energies values of -13.1, 78.8, 79.0, -160.8, -78.8, -68.1 kJ/mol of atoms.